Below is a relaxed YTl2CoCu crystal, with properties calculated at the PBE level.

POSCAR file:
```
YTl2CoCu
1.0
5.981 0.000 0.000
0.000 5.981 0.000
0.000 0.000 4.601
Y Tl Co Cu
1 2 1 1
Direct
0.000 0.000 0.000 Y
0.000 0.500 0.000 Tl
0.500 0.000 0.000 Tl
0.000 0.000 0.500 Co
0.500 0.500 0.500 Cu
```

Output
D(E_F) (states/eV per atom): 0.847
Crystal system: tetragonal
Density (Mg/m³): 6.26
Final energy (eV per atom): -3.288
Calculated volume (Å³/cell): 164.6
Energy relative to the elements (eV/atom): 1.192

=====

Below is a relaxed TlZnCoCu2 crystal, with properties calculated at the PBE level.

POSCAR file:
```
TlZnCoCu2
1.0
4.548 0.000 0.000
0.000 4.548 0.000
0.000 0.000 4.918
Tl Zn Co Cu
1 1 1 2
Direct
0.000 0.000 0.000 Tl
0.500 0.500 0.000 Zn
0.000 0.000 0.500 Co
0.000 0.500 0.500 Cu
0.500 0.000 0.500 Cu
```

Output
D(E_F) (states/eV per atom): 1.245
Crystal system: tetragonal
Density (Mg/m³): 7.44
Final energy (eV per atom): -2.964
Calculated volume (Å³/cell): 101.7
Energy relative to the elements (eV/atom): 0.824

=====

Below is a relaxed Tm6CoCu crystal, with properties calculated at the PBE level.

POSCAR file:
```
Tm6CoCu
1.0
4.832 0.000 0.000
0.000 4.832 0.000
0.000 0.000 16.856
Tm Co Cu
12 2 2
Direct
0.000 0.000 0.249 Tm
0.000 0.000 0.751 Tm
0.000 0.500 0.095 Tm
0.000 0.500 0.405 Tm
0.000 0.500 0.595 Tm
0.000 0.500 0.905 Tm
0.500 0.000 0.095 Tm
0.500 0.000 0.405 Tm
0.500 0.000 0.595 Tm
0.500 0.000 0.905 Tm
0.500 0.500 0.251 Tm
0.500 0.500 0.749 Tm
0.000 0.000 0.000 Co
0.500 0.500 0.500 Co
0.000 0.000 0.500 Cu
0.500 0.500 0.000 Cu
```

Output
Polymorph energy (0 for the lowest one) (meV per atom): 0
D(E_F) (states/eV per atom): 1.266
Crystal system: tetragonal
Density (Mg/m³): 9.59
Final energy (eV per atom): -4.847
Calculated volume (Å³/cell): 393.6
Energy relative to the elements (eV/atom): -0.093

=====

Below is a relaxed Tm4CoCu3 crystal, with properties calculated at the PBE level.

POSCAR file:
```
Tm4CoCu3
1.0
3.369 0.000 0.000
0.000 3.369 0.000
0.000 0.000 13.700
Tm Co Cu
4 1 3
Direct
0.000 0.000 0.118 Tm
0.000 0.000 0.373 Tm
0.000 0.000 0.627 Tm
0.000 0.000 0.882 Tm
0.500 0.500 0.000 Co
0.500 0.500 0.248 Cu
0.500 0.500 0.500 Cu
0.500 0.500 0.752 Cu
```

Output
D(E_F) (states/eV per atom): 0.539
Crystal system: tetragonal
Density (Mg/m³): 9.88
Final energy (eV per atom): -4.940
Calculated volume (Å³/cell): 155.5
Energy relative to the elements (eV/atom): -0.280

=====

Below is a relaxed Tm3Co7Cu2 crystal, with properties calculated at the PBE level.

POSCAR file:
```
Tm3Co7Cu2
1.0
2.464 1.423 8.211
-2.464 1.423 8.211
0.000 -2.846 8.211
Tm Co Cu
3 7 2
Direct
0.000 0.000 0.000 Tm
0.139 0.139 0.139 Tm
0.861 0.861 0.861 Tm
0.081 0.584 0.584 Co
0.416 0.416 0.919 Co
0.416 0.919 0.416 Co
0.500 0.500 0.500 Co
0.584 0.081 0.584 Co
0.584 0.584 0.081 Co
0.919 0.416 0.416 Co
0.334 0.334 0.334 Cu
0.666 0.666 0.666 Cu
```

Output
D(E_F) (states/eV per atom): 1.169
Crystal system: trigonal
Density (Mg/m³): 10.06
Final energy (eV per atom): -6.163
Calculated volume (Å³/cell): 172.8
Energy relative to the elements (eV/atom): -0.217

=====

Below is a relaxed Tm6CoCu5 crystal, with properties calculated at the PBE level.

POSCAR file:
```
Tm6CoCu5
1.0
-2.398 3.405 7.185
2.398 -3.405 7.185
2.398 3.405 -7.185
Tm Co Cu
6 1 5
Direct
0.083 0.337 0.746 Tm
0.242 0.000 0.242 Tm
0.409 0.663 0.746 Tm
0.591 0.337 0.254 Tm
0.758 0.000 0.758 Tm
0.917 0.663 0.254 Tm
0.000 0.500 0.500 Co
0.168 0.168 0.000 Cu
0.334 0.834 0.500 Cu
0.500 0.500 0.000 Cu
0.666 0.166 0.500 Cu
0.832 0.832 0.000 Cu
```

Output
D(E_F) (states/eV per atom): 0.660
Crystal system: orthorhombic
Density (Mg/m³): 9.84
Final energy (eV per atom): -4.817
Calculated volume (Å³/cell): 234.7
Energy relative to the elements (eV/atom): -0.282

=====

Below is a relaxed Tm4Co2Cu crystal, with properties calculated at the PBE level.

POSCAR file:
```
Tm4Co2Cu
1.0
4.689 0.000 0.000
0.000 4.689 0.000
0.000 0.000 6.598
Tm Co Cu
4 2 1
Direct
0.000 0.500 0.248 Tm
0.000 0.500 0.752 Tm
0.500 0.000 0.248 Tm
0.500 0.000 0.752 Tm
0.000 0.000 0.000 Co
0.500 0.500 0.500 Co
0.000 0.000 0.500 Cu
```

Output
Polymorph energy (0 for the lowest one) (meV per atom): 35
D(E_F) (states/eV per atom): 0.833
Crystal system: tetragonal
Density (Mg/m³): 9.81
Final energy (eV per atom): -5.345
Calculated volume (Å³/cell): 145.1
Energy relative to the elements (eV/atom): -0.175

=====

Below is a relaxed Tm12Co6Cu crystal, with properties calculated at the PBE level.

POSCAR file:
```
Tm12Co6Cu
1.0
6.062 3.500 3.574
-6.062 3.500 3.574
0.000 -6.999 3.574
Tm Co Cu
12 6 1
Direct
0.062 0.670 0.917 Tm
0.083 0.938 0.330 Tm
0.177 0.413 0.564 Tm
0.330 0.083 0.938 Tm
0.413 0.564 0.177 Tm
0.436 0.823 0.587 Tm
0.564 0.177 0.413 Tm
0.587 0.436 0.823 Tm
0.670 0.917 0.062 Tm
0.823 0.587 0.436 Tm
0.917 0.062 0.670 Tm
0.938 0.330 0.083 Tm
0.137 0.615 0.307 Co
0.307 0.137 0.615 Co
0.385 0.693 0.863 Co
0.615 0.307 0.137 Co
0.693 0.863 0.385 Co
0.863 0.385 0.693 Co
0.000 0.000 0.000 Cu
```

Output
Polymorph energy (0 for the lowest one) (meV per atom): 148
D(E_F) (states/eV per atom): 0.617
Crystal system: trigonal
Density (Mg/m³): 8.92
Final energy (eV per atom): -5.348
Calculated volume (Å³/cell): 454.9
Energy relative to the elements (eV/atom): -0.064

=====

Below is a relaxed Tm12Co6Cu crystal, with properties calculated at the PBE level.

POSCAR file:
```
Tm12Co6Cu
1.0
-4.721 4.721 4.721
4.721 -4.721 4.721
4.721 4.721 -4.721
Tm Co Cu
12 6 1
Direct
0.106 0.806 0.300 Tm
0.194 0.300 0.494 Tm
0.194 0.700 0.894 Tm
0.300 0.106 0.806 Tm
0.300 0.494 0.194 Tm
0.494 0.194 0.300 Tm
0.506 0.806 0.700 Tm
0.700 0.506 0.806 Tm
0.700 0.894 0.194 Tm
0.806 0.300 0.106 Tm
0.806 0.700 0.506 Tm
0.894 0.194 0.700 Tm
0.115 0.615 0.500 Co
0.385 0.500 0.885 Co
0.500 0.115 0.615 Co
0.500 0.885 0.385 Co
0.615 0.500 0.115 Co
0.885 0.385 0.500 Co
0.000 0.000 0.000 Cu
```

Output
Polymorph energy (0 for the lowest one) (meV per atom): 0
D(E_F) (states/eV per atom): 0.727
Crystal system: cubic
Density (Mg/m³): 9.64
Final energy (eV per atom): -5.495
Calculated volume (Å³/cell): 420.9
Energy relative to the elements (eV/atom): -0.212

=====

Below is a relaxed Tm4Co2Cu5 crystal, with properties calculated at the PBE level.

POSCAR file:
```
Tm4Co2Cu5
1.0
6.598 0.000 0.000
0.000 3.906 0.000
-0.429 0.000 7.598
Tm Co Cu
4 2 5
Direct
0.220 0.000 0.361 Tm
0.240 0.000 0.899 Tm
0.760 0.000 0.101 Tm
0.780 0.000 0.639 Tm
0.076 0.500 0.135 Co
0.924 0.500 0.865 Co
0.147 0.500 0.624 Cu
0.449 0.500 0.162 Cu
0.500 0.500 0.500 Cu
0.551 0.500 0.838 Cu
0.853 0.500 0.376 Cu
```

Output
D(E_F) (states/eV per atom): 0.653
Crystal system: monoclinic
Density (Mg/m³): 9.42
Final energy (eV per atom): -5.009
Calculated volume (Å³/cell): 195.8
Energy relative to the elements (eV/atom): -0.229

=====

Below is a relaxed Tm3Co3Cu crystal, with properties calculated at the PBE level.

POSCAR file:
```
Tm3Co3Cu
1.0
2.054 -4.842 0.000
2.054 4.842 0.000
0.000 0.000 12.495
Tm Co Cu
6 6 2
Direct
0.001 0.999 0.750 Tm
0.291 0.709 0.603 Tm
0.291 0.709 0.897 Tm
0.709 0.291 0.103 Tm
0.709 0.291 0.397 Tm
0.999 0.001 0.250 Tm
0.297 0.703 0.250 Co
0.420 0.580 0.093 Co
0.420 0.580 0.407 Co
0.580 0.420 0.593 Co
0.580 0.420 0.907 Co
0.703 0.297 0.750 Co
0.000 0.000 0.000 Cu
0.000 0.000 0.500 Cu
```

Output
D(E_F) (states/eV per atom): 0.832
Crystal system: orthorhombic
Density (Mg/m³): 9.98
Final energy (eV per atom): -5.808
Calculated volume (Å³/cell): 248.5
Energy relative to the elements (eV/atom): -0.261

=====

Below is a relaxed Tm7Co2Cu2 crystal, with properties calculated at the PBE level.

POSCAR file:
```
Tm7Co2Cu2
1.0
3.639 -5.314 0.000
3.639 5.314 0.000
0.000 0.000 6.761
Tm Co Cu
7 2 2
Direct
0.000 0.000 0.000 Tm
0.000 0.500 0.257 Tm
0.000 0.500 0.743 Tm
0.500 0.000 0.257 Tm
0.500 0.000 0.743 Tm
0.500 0.500 0.249 Tm
0.500 0.500 0.751 Tm
0.297 0.703 0.000 Co
0.703 0.297 0.000 Co
0.171 0.171 0.500 Cu
0.829 0.829 0.500 Cu
```

Output
D(E_F) (states/eV per atom): 0.911
Crystal system: orthorhombic
Density (Mg/m³): 9.07
Final energy (eV per atom): -4.947
Calculated volume (Å³/cell): 261.5
Energy relative to the elements (eV/atom): -0.065